The following is a DFT calculation (PBE) of an optimized crystal structure of AcRh2Pb2.

Lattice parameters (Å, degrees): 11.0601 4.2712 5.5548 90.00 107.23 90.00
Closest atoms and distances in Å follow each position.
Space group C2/m (No. 12)
One atom of each set of equivalent atoms:
Ac1 0.0000 0.0000 0.0000 [2 per cell]  6 Rh 3.10-3.47
Rh1 0.2126 0.5000 0.1323 [4 per cell]  4 Pb 2.79-2.87, 2 Rh 2.85, 2 Ac 3.10
Pb1 0.1525 0.5000 0.5925 [4 per cell]  4 Rh 2.79-2.87

The value obtained for the total energy is -5.6368 eV per atom. The calculation puts the calculated formation energy at -0.3912 eV per atom. Its calculated density is 11.23 g/cm3.

=====

The following is a DFT calculation (PBE) of an optimized crystal structure of Ac4RhPb2.

Lattice parameters (Å, degrees): 12.7601 4.8954 9.4817 90.00 121.34 90.00
Closest atoms and distances in Å follow each position.
Space group C2/m (No. 12)
One atom of each set of equivalent atoms:
Ac1 0.0741 0.0000 0.3481 [4 per cell]  1 Rh 2.92
Ac2 0.1673 0.5000 0.0607 [4 per cell]  2 Rh 3.10
Rh1 0.0000 0.0000 0.0000 [2 per cell]  6 Ac 2.92-3.10
Pb1 0.1395 0.5000 0.6550 [4 per cell]  1 Pb 3.23, 4 Ac 3.52-3.55

The value obtained for the total energy is -4.9974 eV per atom. The calculation puts the calculated formation energy at -0.5400 eV per atom. Its calculated density is 9.36 g/cm3.

=====

The following is a DFT calculation (PBE) of an optimized crystal structure of Ac3Rh8Pb.

Lattice parameters (Å, degrees): 5.5080 5.5080 27.1700 90.00 90.00 120.00
Closest atoms and distances in Å follow each position.
Space group R3m (No. 160, hexagonal axes)
One atom of each set of equivalent atoms:
Ac1 0.0000 0.0000 0.0000 [3 per cell]  12 Rh 3.23-3.29, 4 Ac 3.43-3.46
Ac2 0.0000 0.0000 0.1272 [3 per cell]  12 Rh 3.15-3.27, 3 Pb 3.33, 1 Ac 3.46
Ac3 0.0000 0.0000 0.6198 [3 per cell]  12 Rh 3.19-3.37, 1 Pb 3.34, 3 Ac 3.43
Rh1 0.0000 0.0000 0.3115 [3 per cell]  6 Rh 2.79
Rh2 0.0000 0.0000 0.8121 [3 per cell]  6 Rh 2.73-2.76
Rh3 0.0013 0.5006 0.0625 [9 per cell]  6 Rh 2.74-2.79
Rh4 0.0010 0.5005 0.5607 [9 per cell]  6 Rh 2.73-2.79
Pb1 0.0000 0.0000 0.4967 [3 per cell]  12 Rh 3.17-3.26, 4 Ac 3.33-3.34

The value obtained for the total energy is -6.6704 eV per atom. The calculation puts the calculated formation energy at -0.4333 eV per atom. Its calculated density is 11.94 g/cm3.

=====

The following is a DFT calculation (PBE) of an optimized crystal structure of AcRhPb.

Lattice parameters (Å, degrees): 8.2010 4.7416 9.4637 90.00 106.79 90.00
Closest atoms and distances in Å follow each position.
Space group C2/m (No. 12)
One atom of each set of equivalent atoms:
Ac1 0.2465 0.0000 0.2406 [4 per cell]  4 Rh 3.06-3.19
Rh1 0.1403 0.5000 0.4212 [4 per cell]  3 Pb 2.83, 1 Ac 3.06, 3 Rh 3.08-3.09
Pb1 0.0000 0.0000 0.5000 [2 per cell]  6 Rh 2.83
Pb2 0.0000 0.5000 0.0000 [2 per cell]  6 Ac 3.50, 2 Rh 3.82

The value obtained for the total energy is -5.5021 eV per atom. The calculation puts the calculated formation energy at -0.4460 eV per atom. Its calculated density is 10.13 g/cm3.

=====

The following is a DFT calculation (PBE) of an optimized crystal structure of Ac5Rh4Pb2.

Lattice parameters (Å, degrees): 21.0024 4.2643 8.0355 90.00 96.56 90.00
Closest atoms and distances in Å follow each position.
Space group C2/m (No. 12)
One atom of each set of equivalent atoms:
Ac1 0.0000 0.0000 0.0000 [2 per cell]  4 Rh 2.94
Ac2 0.0954 0.5000 0.4429 [4 per cell]  4 Rh 2.98-3.09
Ac3 0.1631 0.5000 0.9277 [4 per cell]  3 Rh 2.91-2.92
Rh1 0.0307 0.5000 0.7699 [4 per cell]  2 Rh 2.82, 5 Ac 2.92-3.09
Rh2 0.1124 0.0000 0.7042 [4 per cell]  1 Pb 2.81, 2 Rh 2.82, 4 Ac 2.91-2.99
Pb1 0.2420 0.0000 0.6490 [4 per cell]  1 Rh 2.81

The value obtained for the total energy is -5.6602 eV per atom. The calculation puts the calculated formation energy at -0.4452 eV per atom. Its calculated density is 9.11 g/cm3.

=====

The following is a DFT calculation (PBE) of an optimized crystal structure of Ac3RhPb3.

Lattice parameters (Å, degrees): 12.6469 4.4061 17.1383 90.00 102.96 90.00
Closest atoms and distances in Å follow each position.
Space group C2/m (No. 12)
One atom of each set of equivalent atoms:
Ac1 0.0283 0.0000 0.3877 [4 per cell]  2 Rh 3.07
Ac2 0.1003 0.0000 0.9249 [4 per cell]  7 Pb 3.38-3.68
Ac3 0.2360 0.0000 0.2477 [4 per cell]  2 Rh 3.17, 3 Pb 3.50-3.54
Rh1 0.1902 0.5000 0.3687 [4 per cell]  4 Pb 2.90-3.04, 4 Ac 3.07-3.17
Pb1 0.0110 0.5000 0.2292 [4 per cell]  1 Rh 2.90, 1 Pb 3.20
Pb2 0.1361 0.5000 0.0862 [4 per cell]  1 Pb 3.20, 5 Ac 3.38-3.54
Pb3 0.1762 0.5000 0.5435 [4 per cell]  3 Rh 2.97-3.04

The value obtained for the total energy is -4.9231 eV per atom. The calculation puts the calculated formation energy at -0.5229 eV per atom. Its calculated density is 10.03 g/cm3.

=====

The following is a DFT calculation (PBE) of an optimized crystal structure of Ac6Rh4Pb.

Lattice parameters (Å, degrees): 4.3597 14.4731 22.2596 90.00 90.00 90.00
Closest atoms and distances in Å follow each position.
Space group Cmcm (No. 63)
One atom of each set of equivalent atoms:
Ac1 0.0000 0.0000 0.0000 [4 per cell]  6 Rh 3.09-3.17
Ac2 0.0000 0.1579 0.2500 [4 per cell]  2 Rh 2.87
Ac3 0.0000 0.2677 0.5841 [8 per cell]  5 Rh 3.04-3.12
Ac4 0.0000 0.4615 0.1521 [8 per cell]  3 Rh 2.85-3.01
Rh1 0.0000 0.0999 0.1265 [8 per cell]  6 Ac 2.87-3.17
Rh2 0.0000 0.3628 0.0415 [8 per cell]  6 Ac 2.85-3.12
Pb1 0.0000 0.1601 0.7500 [4 per cell]  6 Ac 3.42-3.55

The value obtained for the total energy is -5.8611 eV per atom. The calculation puts the calculated formation energy at -0.6098 eV per atom. Its calculated density is 9.37 g/cm3.

=====

The following is a DFT calculation (PBE) of an optimized crystal structure of Ac4Rh6Pb5.

Lattice parameters (Å, degrees): 4.2527 21.7986 16.7026 90.00 90.00 90.00
Closest atoms and distances in Å follow each position.
Space group Cmc2_1 (No. 36)
One atom of each set of equivalent atoms:
Ac1 0.0000 0.0025 0.0000 [4 per cell]  7 Rh 3.25-3.43, 4 Pb 3.61-3.63
Ac2 0.0000 0.0660 0.2665 [4 per cell]  6 Rh 3.07-3.30
Ac3 0.0000 0.1229 0.7977 [4 per cell]  6 Rh 2.99-3.10
Ac4 0.0000 0.1830 0.4672 [4 per cell]  6 Rh 2.94-3.16
Rh1 0.0000 0.1152 0.6192 [4 per cell]  4 Pb 2.82-2.84, 2 Ac 2.94-2.99
Rh2 0.0000 0.2148 0.9394 [4 per cell]  4 Pb 2.79-3.08, 2 Rh 2.90, 3 Ac 3.10-3.11
Rh3 0.0000 0.2751 0.3224 [4 per cell]  4 Pb 2.74-3.02, 2 Rh 2.90
Rh4 0.0000 0.4090 0.8952 [4 per cell]  1 Rh 2.75, 1 Pb 2.91, 2 Ac 3.07
Rh5 0.0000 0.4174 0.6166 [4 per cell]  4 Pb 2.76-2.87
Rh6 0.0000 0.4702 0.3471 [4 per cell]  1 Rh 2.75, 2 Pb 2.92-3.03, 2 Ac 3.05
Pb1 0.0000 0.1671 0.0991 [4 per cell]  3 Rh 2.83-2.86, 1 Pb 3.09
Pb2 0.0000 0.3010 0.7930 [4 per cell]  3 Rh 2.74-2.91
Pb3 0.0000 0.3026 0.1542 [4 per cell]  3 Rh 2.84-2.87, 1 Pb 3.09
Pb4 0.0000 0.3667 0.4579 [4 per cell]  5 Rh 2.79-3.02
Pb5 0.0000 0.4617 0.1661 [4 per cell]  4 Rh 2.76-3.03

The value obtained for the total energy is -5.7134 eV per atom. The calculation puts the calculated formation energy at -0.4412 eV per atom. Its calculated density is 10.99 g/cm3.

=====

Q: Among the records above, which one has the lowest calculated formation energy?
A: Ac6Rh4Pb

=====

Q: Which value of calculated formation energy does entry 2 give?
A: -0.5400 eV per atom

=====

Q: The lowest calculated density belongs to which entry?
A: Ac5Rh4Pb2

=====

Q: Which value of calculated formation energy does entry 3 give?
A: -0.4333 eV per atom